# 1
Compound: TlCd5
Source: the Alexandria database
Functional: SCAN
Structure: single point on PBEsol structure Values from VASP.

Cell and atoms, written as Quantum ESPRESSO input:
```
&SYSTEM
  ibrav = 0, nat = 6, ntyp = 2
/
ATOMIC_SPECIES
Cd 112.41 Cd.upf
Tl 204.38 Tl.upf
ATOMIC_POSITIONS crystal
Cd 0.5000 0.5000 0.8419
Tl 0.5000 0.5000 0.5000
Cd 0.0000 0.0000 0.3150
Cd 0.0000 0.0000 0.6850
Cd 0.0000 0.0000 0.0000
Cd 0.5000 0.5000 0.1581
CELL_PARAMETERS angstrom
3.1774 0.0000 0.0000
0.0000 3.1774 0.0000
0.0000 0.0000 13.1499
```

Summary:
Excess energy over the best structure of this formula in the dataset   0.000 eV per atom
Space group   P4/mmm
Energy of formation   0.92 kcal/mol of atoms
Energy   -37.365 eV per atom

# 2
Compound: FeAsPbSe2
Source: the Alexandria database
Functional: SCAN
Structure: single point on PBEsol structure Values from VASP.

Cell and atoms, written as Quantum ESPRESSO input:
```
&SYSTEM
  ibrav = 0, nat = 5, ntyp = 4
/
ATOMIC_SPECIES
Fe 55.84 Fe.upf
Se 78.96 Se.upf
Pb 207.20 Pb.upf
As 74.92 As.upf
ATOMIC_POSITIONS crystal
Fe 0.0000 0.0000 0.0000
Se 0.0000 0.5000 0.0000
Pb 0.5000 0.5000 0.5000
Se 0.0000 0.0000 0.5000
As 0.5000 0.0000 0.0000
CELL_PARAMETERS angstrom
4.3504 0.0000 0.0000
0.0000 4.9738 0.0000
0.0000 0.0000 4.9738
```

Summary:
Space group   P4/mmm
Energy   -30.717 eV per atom

# 3
Compound: La2CdSe
Source: the Alexandria database
Functional: SCAN
Structure: single point on PBEsol structure Values from VASP.

Cell and atoms, written as Quantum ESPRESSO input:
```
&SYSTEM
  ibrav = 0, nat = 4, ntyp = 3
/
ATOMIC_SPECIES
La 138.91 La.upf
Cd 112.41 Cd.upf
Se 78.96 Se.upf
ATOMIC_POSITIONS crystal
La 0.0000 0.0000 0.2280
La 0.0000 0.0000 0.7720
Cd 0.5000 0.5000 0.5000
Se 0.5000 0.5000 0.0000
CELL_PARAMETERS angstrom
-1.3392 1.0802 3.1512
-3.3299 -0.5283 -1.2341
0.2111 -7.7356 2.7415
```

Summary:
Excess energy over the best structure of this formula in the dataset   0.120 eV per atom
Space group   P4/mmm
Energy   -35.271 eV per atom

# 4
Compound: Ca2AgPb2
Source: the Alexandria database
Functional: SCAN
Structure: single point on PBEsol structure Values from VASP.

Cell and atoms, written as Quantum ESPRESSO input:
```
&SYSTEM
  ibrav = 0, nat = 10, ntyp = 3
/
ATOMIC_SPECIES
Pb 207.20 Pb.upf
Ca 40.08 Ca.upf
Ag 107.87 Ag.upf
ATOMIC_POSITIONS crystal
Pb 0.0000 0.3548 0.8548
Ca 0.5000 0.6636 0.8364
Ca 0.5000 0.1636 0.6636
Ca 0.5000 0.8364 0.3364
Pb 0.0000 0.8548 0.6452
Pb 0.0000 0.6452 0.1452
Ca 0.5000 0.3364 0.1636
Ag 0.0000 0.5000 0.5000
Ag 0.0000 0.0000 0.0000
Pb 0.0000 0.1452 0.3548
CELL_PARAMETERS angstrom
-1.6170 -4.5209 -0.5183
3.7234 -2.0491 6.2567
-6.0771 1.6953 4.1717
```

Summary:
Space group   P4/mbm
Energy of formation   -11.84 kcal/mol of atoms
Energy   -40.964 eV per atom

# 5
Compound: TiTlRh2I
Source: the Alexandria database
Functional: SCAN
Structure: single point on PBEsol structure Values from VASP.

Cell and atoms, written as Quantum ESPRESSO input:
```
&SYSTEM
  ibrav = 0, nat = 5, ntyp = 4
/
ATOMIC_SPECIES
Ti 47.87 Ti.upf
I 126.90 I.upf
Rh 102.91 Rh.upf
Tl 204.38 Tl.upf
ATOMIC_POSITIONS crystal
Ti 0.0000 0.0000 0.5000
I 0.0000 0.0000 0.0000
Rh 0.0000 0.5000 0.0000
Tl 0.5000 0.5000 0.5000
Rh 0.5000 0.0000 0.0000
CELL_PARAMETERS angstrom
4.7915 0.0000 0.0000
0.0000 4.7915 0.0000
0.0000 0.0000 4.9231
```

Summary:
Space group   P4/mmm
Energy   -37.677 eV per atom

# 6
Compound: Li5Al3
Source: the Alexandria database
Functional: SCAN
Structure: single point on PBEsol structure Values from VASP.

Cell and atoms, written as Quantum ESPRESSO input:
```
&SYSTEM
  ibrav = 0, nat = 8, ntyp = 2
/
ATOMIC_SPECIES
Al 26.98 Al.upf
Li 6.94 Li.upf
ATOMIC_POSITIONS crystal
Al 0.5000 0.7338 0.2662
Al 0.0000 0.5000 0.5000
Li 0.0000 0.5000 0.0000
Li 0.0000 0.0000 0.0000
Li 0.5000 0.2328 0.2328
Al 0.5000 0.2662 0.7338
Li 0.0000 0.0000 0.5000
Li 0.5000 0.7672 0.7672
CELL_PARAMETERS angstrom
4.3202 0.0000 0.0000
0.0000 5.4495 -0.0279
0.0000 -1.4159 5.2625
```

Summary:
Space group   Cmmm
Energy of formation   -2.31 kcal/mol of atoms
Energy   -4.501 eV per atom

| no. | density of states at the Fermi level (states/eV/cell) |
| --- | --- |
| 1 | 1.7 |
| 2 | 3.4 |
| 3 | 3.8 |
| 4 | 3.6 |
| 5 | 5.8 |
| 6 | 2.1 |